Record 1
A relaxed structure of RuSe2SN, computed with PBE.

Results
**Distance to the lowest polymorph of the same formula**: 0.474 eV/atom
**E_form (uncorrected)**: 1135 meV per atom
**Space group**: No. 123

Structure (CIF):
```
data_RuSe2SN
_cell_length_a 4.906
_cell_length_b 4.906
_cell_length_c 3.214
_cell_angle_alpha 90.00
_cell_angle_beta 90.00
_cell_angle_gamma 90.00
_space_group_name_H-M_alt 'P 1'
_space_group_IT_number 1
loop_
_space_group_symop_operation_xyz
'x,y,z'
loop_
_atom_site_label
_atom_site_type_symbol
_atom_site_fract_x
_atom_site_fract_y
_atom_site_fract_z
Ru1 Ru 0.000 0.000 0.000
Se1 Se 0.000 0.500 0.500
Se2 Se 0.500 0.000 0.500
S1 S 0.500 0.500 0.500
N1 N 0.500 0.500 0.000
```

---

Record 2
A relaxed structure of LaTbPrTh, computed with PBE.

Results
**Distance to the lowest polymorph of the same formula**: 0.140 eV/atom
**Space group**: No. 216

Structure (CIF):
```
data_LaTbPrTh
_cell_length_a 5.797
_cell_length_b 5.797
_cell_length_c 5.797
_cell_angle_alpha 60.00
_cell_angle_beta 60.00
_cell_angle_gamma 60.00
_space_group_name_H-M_alt 'P 1'
_space_group_IT_number 1
loop_
_space_group_symop_operation_xyz
'x,y,z'
loop_
_atom_site_label
_atom_site_type_symbol
_atom_site_fract_x
_atom_site_fract_y
_atom_site_fract_z
La1 La 0.000 0.000 0.000
Tb1 Tb 0.750 0.750 0.750
Pr1 Pr 0.250 0.250 0.250
Th1 Th 0.500 0.500 0.500
```

---

Record 3
A relaxed structure of Ca2TcHgO6, computed with PBE.

Results
**E_form (uncorrected)**: -1726 meV per atom
**Space group**: No. 99

Structure (CIF):
```
data_Ca2TcHgO6
_cell_length_a 5.439
_cell_length_b 5.439
_cell_length_c 5.408
_cell_angle_alpha 90.00
_cell_angle_beta 90.00
_cell_angle_gamma 90.00
_space_group_name_H-M_alt 'P 1'
_space_group_IT_number 1
loop_
_space_group_symop_operation_xyz
'x,y,z'
loop_
_atom_site_label
_atom_site_type_symbol
_atom_site_fract_x
_atom_site_fract_y
_atom_site_fract_z
Ca1 Ca 0.000 0.500 0.000
Ca2 Ca 0.500 0.000 0.000
Tc1 Tc 0.000 0.000 0.630
Hg1 Hg 0.500 0.500 0.530
O1 O 0.000 0.000 0.304
O2 O 0.229 0.229 0.763
O3 O 0.229 0.771 0.763
O4 O 0.500 0.500 0.147
O5 O 0.771 0.229 0.763
O6 O 0.771 0.771 0.763
```

---

Record 4
A relaxed structure of CdRu2Rh2, computed with PBE.

Results
**Distance to the lowest polymorph of the same formula**: 0.027 eV/atom
**Space group**: No. 127

Structure (CIF):
```
data_CdRu2Rh2
_cell_length_a 7.564
_cell_length_b 7.564
_cell_length_c 2.763
_cell_angle_alpha 90.00
_cell_angle_beta 90.00
_cell_angle_gamma 90.00
_space_group_name_H-M_alt 'P 1'
_space_group_IT_number 1
loop_
_space_group_symop_operation_xyz
'x,y,z'
loop_
_atom_site_label
_atom_site_type_symbol
_atom_site_fract_x
_atom_site_fract_y
_atom_site_fract_z
Cd1 Cd 0.000 0.000 0.000
Cd2 Cd 0.500 0.500 0.000
Ru1 Ru 0.173 0.327 0.500
Ru2 Ru 0.327 0.827 0.500
Ru3 Ru 0.673 0.173 0.500
Ru4 Ru 0.827 0.673 0.500
Rh1 Rh 0.122 0.622 0.000
Rh2 Rh 0.378 0.122 0.000
Rh3 Rh 0.622 0.878 0.000
Rh4 Rh 0.878 0.378 0.000
```

---

Record 5
A relaxed structure of SrScAs2, computed with PBE.

Results
**Distance to the lowest polymorph of the same formula**: 0.369 eV/atom
**Space group**: No. 119

Structure (CIF):
```
data_SrScAs2
_cell_length_a 6.153
_cell_length_b 6.153
_cell_length_c 6.153
_cell_angle_alpha 140.29
_cell_angle_beta 140.29
_cell_angle_gamma 57.41
_space_group_name_H-M_alt 'P 1'
_space_group_IT_number 1
loop_
_space_group_symop_operation_xyz
'x,y,z'
loop_
_atom_site_label
_atom_site_type_symbol
_atom_site_fract_x
_atom_site_fract_y
_atom_site_fract_z
Sr1 Sr 0.000 0.000 0.000
Sc1 Sc 0.750 0.250 0.500
As1 As 0.250 0.750 0.500
As2 As 0.500 0.500 0.000
```

---

Record 6
A relaxed structure of KRb2AgPt, computed with PBE.

Results
**Distance to the lowest polymorph of the same formula**: 0.000 eV/atom
**Space group**: No. 123

Structure (CIF):
```
data_KRb2AgPt
_cell_length_a 6.374
_cell_length_b 6.374
_cell_length_c 6.131
_cell_angle_alpha 90.00
_cell_angle_beta 90.00
_cell_angle_gamma 90.00
_space_group_name_H-M_alt 'P 1'
_space_group_IT_number 1
loop_
_space_group_symop_operation_xyz
'x,y,z'
loop_
_atom_site_label
_atom_site_type_symbol
_atom_site_fract_x
_atom_site_fract_y
_atom_site_fract_z
K1 K 0.000 0.000 0.000
Rb1 Rb 0.000 0.500 0.500
Rb2 Rb 0.500 0.000 0.500
Ag1 Ag 0.500 0.500 0.000
Pt1 Pt 0.000 0.000 0.500
```